1.
# Cr2OsPb, PBEsol geometry, DFT meta-GGA SCAN
data_Cr2OsPb
_chemical_formula_sum 'Cr2 Os1 Pb1'
_space_group_name_H-M_alt 'P 1'
_space_group_IT_number 1
_cell_length_a 2.9478
_cell_length_b 4.2526
_cell_length_c 4.8701
_cell_angle_alpha 90.00
_cell_angle_beta 90.00
_cell_angle_gamma 90.00
loop_
_space_group_symop_operation_xyz
'x,y,z'
loop_
_atom_site_label
_atom_site_type_symbol
_atom_site_fract_x
_atom_site_fract_y
_atom_site_fract_z
Pb1 Pb 0.3750 0.5000 0.7897
Cr1 Cr 0.8750 0.5000 0.2818
Os1 Os 0.3750 0.0000 0.4238
Cr2 Cr 0.8750 0.0000 0.0047
# * DFT total energy: -182.57 eV per cell
# * symmetry: Pmm2, No. 25
# * calculated volume: 61 Å³/f.u.
# * E_form: 466 meV/atom
# * total magnetic moment: 0.04 μB/f.u.

***

2.
# Mn2Bi3Sb3O14, PBEsol geometry, DFT meta-GGA SCAN
data_Mn2Bi3Sb3O14
_chemical_formula_sum 'Mn2 Bi3 Sb3 O14'
_space_group_name_H-M_alt 'P 1'
_space_group_IT_number 1
_cell_length_a 6.8209
_cell_length_b 6.8209
_cell_length_c 6.8209
_cell_angle_alpha 73.75
_cell_angle_beta 73.75
_cell_angle_gamma 73.75
loop_
_space_group_symop_operation_xyz
'x,y,z'
loop_
_atom_site_label
_atom_site_type_symbol
_atom_site_fract_x
_atom_site_fract_y
_atom_site_fract_z
O1 O 0.1819 0.1819 0.8924
Bi1 Bi 0.5000 0.0000 0.5000
O2 O 0.7492 0.7492 0.7492
Bi2 Bi 0.5000 0.5000 0.0000
O3 O 0.1819 0.8924 0.1819
Sb1 Sb 0.0000 0.0000 0.5000
Mn1 Mn 0.5000 0.5000 0.5000
O4 O 0.8181 0.1076 0.8181
O5 O 0.1076 0.8181 0.8181
O6 O 0.6794 0.6794 0.3865
O7 O 0.3865 0.6794 0.6794
O8 O 0.2508 0.2508 0.2508
O9 O 0.3206 0.6135 0.3206
Mn2 Mn 0.0000 0.0000 0.0000
Sb2 Sb 0.0000 0.5000 0.0000
Bi3 Bi 0.0000 0.5000 0.5000
O10 O 0.6135 0.3206 0.3206
O11 O 0.6794 0.3865 0.6794
Sb3 Sb 0.5000 0.0000 0.0000
O12 O 0.3206 0.3206 0.6135
O13 O 0.8924 0.1819 0.1819
O14 O 0.8181 0.8181 0.1076
# * DFT total energy: -483.07 eV per cell
# * E_form (uncorrected): -11.81 eV/f.u.
# * symmetry: R-3m, No. 166
# * calculated volume: 285 Å³/f.u.
# * total magnetic moment: 4.32 μB/f.u.

***

3.
# ZrRe3Sn, PBEsol geometry, DFT meta-GGA SCAN
data_ZrRe3Sn
_chemical_formula_sum 'Zr1 Re3 Sn1'
_space_group_name_H-M_alt 'P 1'
_space_group_IT_number 1
_cell_length_a 4.7378
_cell_length_b 4.7378
_cell_length_c 4.7378
_cell_angle_alpha 90.00
_cell_angle_beta 90.00
_cell_angle_gamma 90.00
loop_
_space_group_symop_operation_xyz
'x,y,z'
loop_
_atom_site_label
_atom_site_type_symbol
_atom_site_fract_x
_atom_site_fract_y
_atom_site_fract_z
Sn1 Sn 0.0000 0.0000 0.0000
Re1 Re 0.5000 0.0000 0.0000
Re2 Re 0.0000 0.0000 0.5000
Zr1 Zr 0.5000 0.5000 0.5000
Re3 Re 0.0000 0.5000 0.0000
# * DFT total energy: -268.75 eV per cell
# * symmetry: Pm-3m, No. 221
# * calculated volume: 106 Å³/f.u.
# * E_form: 2233 meV/atom
# * total magnetic moment: 1.71 μB/f.u.

***

4.
# LiCa2Tl, PBEsol geometry, DFT meta-GGA SCAN
data_LiCa2Tl
_chemical_formula_sum 'Li1 Ca2 Tl1'
_space_group_name_H-M_alt 'P 1'
_space_group_IT_number 1
_cell_length_a 3.7246
_cell_length_b 5.5093
_cell_length_c 6.2186
_cell_angle_alpha 109.47
_cell_angle_beta 107.43
_cell_angle_gamma 90.00
loop_
_space_group_symop_operation_xyz
'x,y,z'
loop_
_atom_site_label
_atom_site_type_symbol
_atom_site_fract_x
_atom_site_fract_y
_atom_site_fract_z
Ca1 Ca 0.7627 0.2830 0.5254
Tl1 Tl 0.2267 0.7590 0.4534
Li1 Li 0.5376 0.5114 0.0751
Ca2 Ca 0.9730 0.9465 0.9460
# * DFT total energy: -95.36 eV per cell
# * symmetry: Cm, No. 8
# * energy relative to the lowest polymorph listed for this composition: 104.5 meV/atom
# * calculated volume: 114 Å³/f.u.
# * E_form: -322 meV/atom
# * total magnetic moment: 0.11 μB/f.u.